Record 1
The following is a GGA-PBE calculation of a relaxed structure of CsRbTePdSe, from OQMD.

Results
The density is 5051 kg/m³. The value obtained for the total DFT energy (no corrections) is -3.5636 eV/atom.

Structure (CIF):
```
data_CsRbTePdSe
_cell_length_a 4.0091
_cell_length_b 7.0044
_cell_length_c 7.0710
_cell_angle_alpha 69.36
_cell_angle_beta 73.81
_cell_angle_gamma 73.65
_symmetry_space_group_name_H-M 'P 1'
_symmetry_Int_Tables_number 1
loop_
_symmetry_equiv_pos_as_xyz
'x,y,z'
loop_
_atom_site_label
_atom_site_type_symbol
_atom_site_fract_x
_atom_site_fract_y
_atom_site_fract_z
_atom_site_occupancy
Cs1 Cs 0.0000 0.0000 0.0000 1
Rb1 Rb 0.3808 0.6134 0.6125 1
Te1 Te 0.6867 0.1204 0.4990 1
Pd1 Pd 0.1885 0.3357 0.2800 1
Se1 Se 0.6909 0.5318 0.0790 1
```

=====

Record 2
The following is a GGA-PBE calculation of a relaxed structure of CsRbTl4Pd2, from OQMD.

Results
The density is 8160 kg/m³. The value obtained for the total DFT energy (no corrections) is -2.8512 eV/atom.

Structure (CIF):
```
data_CsRbTl4Pd2
_cell_length_a 8.4038
_cell_length_b 4.5602
_cell_length_c 13.2623
_cell_angle_alpha 90.00
_cell_angle_beta 90.00
_cell_angle_gamma 90.00
_symmetry_space_group_name_H-M 'A m m 2'
_symmetry_Int_Tables_number 38
loop_
_symmetry_equiv_pos_as_xyz
'x,y,z'
'-x,-y,z'
'-x,y,z'
'x,-y,z'
'x,y+1/2,z+1/2'
'-x,-y+1/2,z+1/2'
'-x,y+1/2,z+1/2'
'x,-y+1/2,z+1/2'
loop_
_atom_site_label
_atom_site_type_symbol
_atom_site_fract_x
_atom_site_fract_y
_atom_site_fract_z
_atom_site_occupancy
Cs1 Cs 0.0000 0.0000 0.0000 1
Rb1 Rb 0.5000 0.0000 0.0870 1
Tl1 Tl 0.1986 0.0000 0.7112 1
Tl2 Tl 0.3065 0.0000 0.3746 1
Pd1 Pd 0.0000 0.0000 0.2660 1
Pd2 Pd 0.5000 0.0000 0.8190 1
```

=====

Record 3
The following is a GGA-PBE calculation of a relaxed structure of CsRePd, from OQMD.

Results
Its energy relative to the lowest polymorph listed for this composition is 0.0 kJ/mol of formula units. The density is 8528 kg/m³. The value obtained for the total DFT energy (no corrections) is -4.0609 eV/atom.

Structure (CIF):
```
data_CsRePd
_cell_length_a 6.9205
_cell_length_b 6.9205
_cell_length_c 6.9205
_cell_angle_alpha 90.00
_cell_angle_beta 90.00
_cell_angle_gamma 90.00
_symmetry_space_group_name_H-M 'F -4 3 m'
_symmetry_Int_Tables_number 216
_symmetry_space_group_name_Hall 'F -4 2 3'
loop_
_atom_site_label
_atom_site_type_symbol
_atom_site_fract_x
_atom_site_fract_y
_atom_site_fract_z
_atom_site_occupancy
Cs1 Cs 0.0000 0.0000 0.0000 1
Re1 Re 0.2500 0.2500 0.2500 1
Pd1 Pd 0.0000 0.0000 0.5000 1
```

=====

Record 4
The following is a GGA-PBE calculation of a relaxed structure of CsRePd, from OQMD.

Results
Its energy relative to the lowest polymorph listed for this composition is 161.4 kJ/mol of formula units. The density is 8492 kg/m³. The value obtained for the total DFT energy (no corrections) is -3.5034 eV/atom.

Structure (CIF):
```
data_CsRePd
_cell_length_a 6.9301
_cell_length_b 6.9301
_cell_length_c 6.9301
_cell_angle_alpha 90.00
_cell_angle_beta 90.00
_cell_angle_gamma 90.00
_symmetry_space_group_name_H-M 'F -4 3 m'
_symmetry_Int_Tables_number 216
_symmetry_space_group_name_Hall 'F -4 2 3'
loop_
_atom_site_label
_atom_site_type_symbol
_atom_site_fract_x
_atom_site_fract_y
_atom_site_fract_z
_atom_site_occupancy
Cs1 Cs 0.0000 0.0000 0.0000 1
Re1 Re 0.2500 0.2500 0.2500 1
Pd1 Pd 0.2500 0.2500 0.7500 1
```

=====

Record 5
The following is a GGA-PBE calculation of a relaxed structure of Cs2PdS2, from OQMD.

Results
The density is 4799 kg/m³. The value obtained for the total DFT energy (no corrections) is -3.8659 eV/atom.

Structure (CIF):
```
data_Cs2PdS2
_cell_length_a 6.8242
_cell_length_b 11.8500
_cell_length_c 3.7339
_cell_angle_alpha 90.00
_cell_angle_beta 90.00
_cell_angle_gamma 90.00
_symmetry_space_group_name_H-M 'P b a m'
_symmetry_Int_Tables_number 55
loop_
_symmetry_equiv_pos_as_xyz
'x,y,z'
'-x,-y,-z'
'-x,-y,z'
'x,y,-z'
'x+1/2,-y+1/2,-z'
'-x+1/2,y+1/2,z'
'-x+1/2,y+1/2,-z'
'x+1/2,-y+1/2,z'
loop_
_atom_site_label
_atom_site_type_symbol
_atom_site_fract_x
_atom_site_fract_y
_atom_site_fract_z
_atom_site_occupancy
Cs1 Cs 0.0828 0.1585 0.0000 1
Pd1 Pd 0.0000 0.5000 0.0000 1
S1 S 0.1575 0.4083 0.5000 1
```

=====

Record 6
The following is a GGA-PBE calculation of a relaxed structure of Cs2Pd3S4, from OQMD.

Results
The density is 4845 kg/m³. The value obtained for the total DFT energy (no corrections) is -4.5075 eV/atom.

Structure (CIF):
```
data_Cs2Pd3S4
_cell_length_a 6.2983
_cell_length_b 11.0732
_cell_length_c 28.0441
_cell_angle_alpha 90.00
_cell_angle_beta 90.00
_cell_angle_gamma 90.00
_symmetry_space_group_name_H-M 'F d d d'
_symmetry_Int_Tables_number 70
loop_
_symmetry_equiv_pos_as_xyz
'x,y,z'
'-x,-y,-z'
'-x+1/4,-y+1/4,z'
'x+1/4,y+1/4,-z'
'x,-y+1/4,-z+1/4'
'-x,y+1/4,z+1/4'
'-x+1/4,y,-z+1/4'
'x+1/4,-y,z+1/4'
'x,y+1/2,z+1/2'
'-x,-y+1/2,-z+1/2'
'-x+1/4,-y+3/4,z+1/2'
'x+1/4,y+3/4,-z+1/2'
'x,-y+3/4,-z+3/4'
'-x,y+3/4,z+3/4'
'-x+1/4,y+1/2,-z+3/4'
'x+1/4,-y+1/2,z+3/4'
'x+1/2,y,z+1/2'
'-x+1/2,-y,-z+1/2'
'-x+3/4,-y+1/4,z+1/2'
'x+3/4,y+1/4,-z+1/2'
'x+1/2,-y+1/4,-z+3/4'
'-x+1/2,y+1/4,z+3/4'
'-x+3/4,y,-z+3/4'
'x+3/4,-y,z+3/4'
'x+1/2,y+1/2,z'
'-x+1/2,-y+1/2,-z'
'-x+3/4,-y+3/4,z'
'x+3/4,y+3/4,-z'
'x+1/2,-y+3/4,-z+1/4'
'-x+1/2,y+3/4,z+1/4'
'-x+3/4,y+1/2,-z+1/4'
'x+3/4,-y+1/2,z+1/4'
loop_
_atom_site_label
_atom_site_type_symbol
_atom_site_fract_x
_atom_site_fract_y
_atom_site_fract_z
_atom_site_occupancy
Cs1 Cs 0.1250 0.1250 0.0457 1
Pd1 Pd 0.1250 0.1250 0.3753 1
Pd2 Pd 0.1250 0.1250 0.6250 1
S1 S 0.1231 0.2907 0.5711 1
```

=====

Record 7
The following is a GGA-PBE calculation of a relaxed structure of CsPd3S5, from OQMD.

Results
The density is 4587 kg/m³. The value obtained for the total DFT energy (no corrections) is -4.4501 eV/atom.

Structure (CIF):
```
data_CsPd3S5
_cell_length_a 6.0134
_cell_length_b 6.0134
_cell_length_c 7.0801
_cell_angle_alpha 90.00
_cell_angle_beta 90.00
_cell_angle_gamma 120.00
_symmetry_space_group_name_H-M 'P 6/m m m'
_symmetry_Int_Tables_number 191
_symmetry_space_group_name_Hall '-P 6 2'
loop_
_atom_site_label
_atom_site_type_symbol
_atom_site_fract_x
_atom_site_fract_y
_atom_site_fract_z
_atom_site_occupancy
Cs1 Cs 0.0000 0.0000 0.0000 1
Pd1 Pd 0.0000 0.5000 0.5000 1
S1 S 0.0000 0.0000 0.5000 1
S2 S 0.3333 0.6667 0.2736 1
```

=====

Record 8
The following is a GGA-PBE calculation of a relaxed structure of CsPdS, from OQMD.

Results
The density is 3920 kg/m³. The value obtained for the total DFT energy (no corrections) is -3.8847 eV/atom.

Structure (CIF):
```
data_CsPdS
_cell_length_a 4.2776
_cell_length_b 16.7980
_cell_length_c 9.5996
_cell_angle_alpha 90.00
_cell_angle_beta 90.00
_cell_angle_gamma 90.00
_symmetry_space_group_name_H-M 'A m m 2'
_symmetry_Int_Tables_number 38
loop_
_symmetry_equiv_pos_as_xyz
'x,y,z'
'-x,-y,z'
'-x,y,z'
'x,-y,z'
'x,y+1/2,z+1/2'
'-x,-y+1/2,z+1/2'
'-x,y+1/2,z+1/2'
'x,-y+1/2,z+1/2'
loop_
_atom_site_label
_atom_site_type_symbol
_atom_site_fract_x
_atom_site_fract_y
_atom_site_fract_z
_atom_site_occupancy
Cs1 Cs 0.0000 0.0000 0.0000 1
Cs2 Cs 0.0000 0.1955 0.4078 1
Pd1 Pd 0.5000 0.0000 0.4435 1
Pd2 Pd 0.5000 0.0828 0.6927 1
S1 S 0.0000 0.0000 0.3574 1
S2 S 0.0000 0.1264 0.7328 1
```